VASP calculation (GGA-PBE) on an optimized crystal structure of BaTiS4.

Computed properties:
E_form (uncorrected)   -1.30 eV per atom
SG   C2/c, No. 15
Offset from the most stable computed form   0.0 kJ per mole of atoms
DFT total energy   -5.69 eV/atom

a = 5.720 Å, b = 7.082 Å, c = 9.174 Å
α = 67.30°, β = 87.97°, γ = 84.74°
Fractional coordinates of all 12 atoms:
Ba1 0.750 0.318 0.364
Ba2 0.250 0.682 0.636
Ti1 0.250 0.915 0.169
Ti2 0.750 0.085 0.831
S1 0.781 0.414 0.671
S2 0.167 0.932 0.886
S3 0.719 0.915 0.671
S4 0.333 0.182 0.886
S5 0.667 0.818 0.114
S6 0.281 0.085 0.329
S7 0.833 0.068 0.114
S8 0.219 0.586 0.329